{
  "formula": "Cs2HPbCl6",
  "functional": "GGA-PBE",
  "state": "relaxed",
  "cell": [[-0.5207, -2.2850, -6.5827], [3.2550, -5.9163, 1.7962], [-3.9823, -6.6470, -1.0862]],
  "species": ["Pb", "Cs", "Cs", "H", "Cl", "Cl", "Cl", "Cl", "Cl", "Cl"],
  "frac_coords": [[0.0000, 0.0000, 0.0000], [0.7500, 0.2500, 0.5000], [0.2500, 0.7500, 0.5000], [0.5000, 0.5000, 0.0000], [0.2230, 0.2230, 0.5541], [0.7770, 0.7770, 0.4459], [0.2748, 0.2748, 0.0000], [0.7252, 0.7252, 0.0000], [0.7252, 0.2748, 0.0000], [0.2748, 0.7252, 0.0000]],
  "crystal_system": "tetragonal",
  "total_energy_ev_per_atom": -3.0045
}

---

{
  "formula": "CsH2PbCl8",
  "functional": "GGA-PBE",
  "state": "relaxed",
  "cell": [[6.3135, 1.2730, -0.3405], [1.0822, 5.3496, -0.4847], [-0.4096, -0.9009, 11.6024]],
  "species": ["Cs", "H", "H", "Pb", "Cl", "Cl", "Cl", "Cl", "Cl", "Cl", "Cl", "Cl"],
  "frac_coords": [[0.0000, 0.0000, 0.5000], [0.4189, 0.4767, 0.7982], [0.5811, 0.5233, 0.2018], [0.0000, 0.0000, 0.0000], [0.2317, 0.6823, 0.1753], [0.5983, 0.8048, 0.9522], [0.8060, 0.4139, 0.2146], [0.7683, 0.3177, 0.8247], [0.4017, 0.1952, 0.0478], [0.1940, 0.5861, 0.7854], [0.5400, 0.7322, 0.5024], [0.4600, 0.2678, 0.4976]],
  "crystal_system": "triclinic",
  "total_energy_ev_per_atom": -2.8535
}